Entry from the Alexandria database: an optimized crystal structure of KMnAlF6 (PBE+U).

abc: 7.326 7.228 7.230
angles: 119.99 120.44 90.00
Last column: magnetic moment on the atom in μB.
Sites, in units of the cell vectors:
F: 0.148 0.898 0.296  0.04
F: 0.550 0.892 0.749  0.02
F: 0.801 0.643 0.251  0.02
F: 0.478 0.728 0.956  0.00
F: 0.852 0.102 0.704  0.04
F: 0.450 0.108 0.251  0.02
F: 0.801 0.108 0.251  0.02
F: 0.450 0.643 0.251  0.02
F: 0.199 0.357 0.749  0.02
F: 0.199 0.892 0.749  0.02
F: 0.522 0.272 0.044  0.00
F: 0.550 0.357 0.749  0.02
Al: 0.500 0.000 0.000  0.00
Al: 0.500 0.500 0.000  0.00
Mn: 0.000 0.000 0.500  4.70
Mn: 0.500 0.000 0.500  4.70
K: 0.871 0.621 0.743  0.00
K: 0.129 0.379 0.257  0.00

Calculated values
- D(E_F): 0.00 states/eV/cell
- Electronic total energy: -5.76 eV/atom
- Size of the total moment: 5.000 μB/f.u.